# 1
An optimized crystal structure of PrNdHoCd, computed with GGA-PBE.

Properties
The value obtained for the energy relative to the lowest polymorph listed for this composition is 99 meV per atom. The uncorrected energy comes out at -3.808 eV per atom. Its space group is F-43m. As for the formation energy: -0.05 eV per atom.

Cell lengths 5.5728, 5.5728, 5.5728 Å; angles 60.00, 60.00, 60.00 degrees
Last column: nearest neighbours and their distance in Å.
Fractional coordinates of all 4 atoms:
Pr 0.0000 0.0000 0.0000  4 Cd 3.41, 4 Ho 3.41
Nd 0.5000 0.5000 0.5000  4 Cd 3.41, 4 Ho 3.41
Ho 0.2500 0.2500 0.2500  4 Pr 3.41, 4 Nd 3.41
Cd 0.7500 0.7500 0.7500  4 Pr 3.41, 4 Nd 3.41


# 2
An optimized crystal structure of CsH, computed with GGA-PBE.

Properties
The uncorrected energy comes out at -2.204 eV per atom. Its space group is I-43m.

Cell lengths 8.1453, 8.1453, 8.1453 Å; angles 109.47, 109.47, 109.47 degrees
Last column: nearest neighbours and their distance in Å.
Fractional coordinates of all 8 atoms:
Cs 0.0000 0.0000 0.3249  4 H 2.93-3.01
Cs 0.0000 0.3249 0.0000  4 H 2.93-3.01
Cs 0.3249 0.0000 0.0000  4 H 2.93-3.01
Cs 0.6751 0.6751 0.6751  4 H 2.93-3.01
H 0.0000 0.0000 0.6848  4 Cs 2.93-3.01
H 0.0000 0.6848 0.0000  4 Cs 2.93-3.01
H 0.3152 0.3152 0.3152  4 Cs 2.93-3.01
H 0.6848 0.0000 0.0000  4 Cs 2.93-3.01


# 3
An optimized crystal structure of Dy2TmThP4, computed with GGA-PBE.

Properties
The uncorrected energy comes out at -6.949 eV per atom. Its space group is P2/m. As for the formation energy: -1.61 eV per atom.

Cell lengths 6.9699, 4.0375, 6.9805 Å; angles 90.00, 109.47, 90.00 degrees
Last column: nearest neighbours and their distance in Å.
Fractional coordinates of all 8 atoms:
Dy 0.0000 0.0000 0.0000  6 P 2.82-2.83
Dy 0.5000 0.5000 0.0000  6 P 2.86-2.87
Tm 0.0000 0.5000 0.5000  6 P 2.83-2.84
Th 0.5000 0.0000 0.5000  6 P 2.87-2.88
P 0.2437 0.5000 0.2463  3 Dy 2.82-2.86, 1 Tm 2.83, 2 Th 2.88
P 0.2455 0.0000 0.7495  3 Dy 2.83-2.87, 2 Tm 2.84, 1 Th 2.87
P 0.7545 0.0000 0.2505  3 Dy 2.83-2.87, 2 Tm 2.84, 1 Th 2.87
P 0.7563 0.5000 0.7537  3 Dy 2.82-2.86, 1 Tm 2.83, 2 Th 2.88


Question: Which of these has the highest uncorrected energy?
Answer: CsH


Question: Look up the uncorrected energy of the third one.
Answer: -6.949 eV per atom


Repeat the first record exactly.
An optimized crystal structure of PrNdHoCd, computed with GGA-PBE.

Properties
The value obtained for the energy relative to the lowest polymorph listed for this composition is 99 meV per atom. The uncorrected energy comes out at -3.808 eV per atom. Its space group is F-43m. As for the formation energy: -0.05 eV per atom.

Cell lengths 5.5728, 5.5728, 5.5728 Å; angles 60.00, 60.00, 60.00 degrees
Last column: nearest neighbours and their distance in Å.
Fractional coordinates of all 4 atoms:
Pr 0.0000 0.0000 0.0000  4 Cd 3.41, 4 Ho 3.41
Nd 0.5000 0.5000 0.5000  4 Cd 3.41, 4 Ho 3.41
Ho 0.2500 0.2500 0.2500  4 Pr 3.41, 4 Nd 3.41
Cd 0.7500 0.7500 0.7500  4 Pr 3.41, 4 Nd 3.41


Question: Which of these has the lowest uncorrected energy?
Answer: Dy2TmThP4